(a)
NdSm8Ho2 | Alexandria | GGA-PBE | optimized geometry; V = 34.063 A^3/atom; density of states at the Fermi level = 17.871 states/eV/cell; crystal system = monoclinic
1.0
8.397 -3.376 0.000
8.397 3.376 0.000
-1.139 0.000 6.609
Nd Sm Ho
1 8 2
Cartesian
0.000 0.000 0.000 Nd
6.228 1.600 3.904 Sm
3.743 0.000 2.071 Sm
9.428 1.600 2.705 Sm
6.759 0.000 0.593 Sm
8.898 0.000 6.016 Sm
6.228 -1.600 3.904 Sm
11.914 0.000 4.538 Sm
9.428 -1.600 2.705 Sm
2.494 0.000 5.307 Ho
13.162 0.000 1.301 Ho



(b)
NdSm8Ho2 | Alexandria | GGA-PBE | optimized geometry; V = 33.896 A^3/atom; density of states at the Fermi level = 15.853 states/eV/cell; crystal system = orthorhombic
1.0
-2.823 4.122 8.012
2.823 -4.122 8.012
2.823 4.122 -8.012
Nd Sm Ho
1 8 2
Cartesian
0.000 0.000 0.000 Nd
2.823 -1.688 5.801 Sm
2.823 0.000 2.627 Sm
2.823 2.430 0.000 Sm
0.000 2.433 2.211 Sm
2.823 1.688 5.801 Sm
0.000 1.692 8.012 Sm
0.000 4.122 5.385 Sm
0.000 5.810 2.211 Sm
0.000 0.000 4.812 Ho
0.000 0.000 11.212 Ho



Quick one: most stable of them? (b)



(a)
Nd4Sm3Ho5 | Alexandria | GGA-PBE | optimized geometry; V = 33.032 A^3/atom; density of states at the Fermi level = 15.620 states/eV/cell; crystal system = triclinic
1.0
6.242 0.000 0.000
-0.010 7.199 0.000
-0.006 -0.017 8.821
Nd Sm Ho
4 3 5
Cartesian
1.039 7.196 1.498 Nd
2.066 1.796 7.336 Nd
4.160 5.387 1.485 Nd
5.186 -0.014 7.323 Nd
2.059 5.375 7.336 Sm
3.113 3.591 4.411 Sm
4.166 1.807 1.485 Sm
6.234 1.803 4.409 Ho
-0.008 5.379 4.412 Ho
1.027 3.597 1.496 Ho
3.118 -0.008 4.411 Ho
5.198 3.586 7.325 Ho



(b)
Nd4Sm3Ho5 | Alexandria | GGA-PBE | optimized geometry; V = 33.839 A^3/atom; density of states at the Fermi level = 19.059 states/eV/cell; crystal system = monoclinic
1.0
8.072 -2.987 0.000
8.072 2.987 0.000
-4.160 0.000 8.420
Nd Sm Ho
4 3 5
Cartesian
-0.494 0.000 3.749 Nd
-0.245 0.000 7.428 Nd
12.229 0.000 0.992 Nd
12.478 0.000 4.671 Nd
2.424 0.000 1.972 Sm
8.072 0.000 0.000 Sm
9.561 0.000 6.448 Sm
0.000 0.000 0.000 Ho
2.748 0.000 5.168 Ho
5.668 0.000 2.539 Ho
6.317 0.000 5.881 Ho
9.236 0.000 3.252 Ho



Quick one: most stable of them? (a)



(a)
NdSmHo3 | Alexandria | GGA-PBE | optimized geometry; V = 35.459 A^3/atom; density of states at the Fermi level = 15.297 states/eV/cell; crystal system = orthorhombic
1.0
1.817 -8.400 0.000
1.817 8.400 0.000
0.000 0.000 11.616
Nd Sm Ho
2 2 6
Cartesian
1.817 5.220 8.712 Nd
1.817 -5.220 2.904 Nd
1.817 0.259 2.904 Sm
1.817 -0.259 8.712 Sm
1.817 5.898 2.904 Ho
1.817 2.630 5.837 Ho
1.817 2.630 11.588 Ho
1.817 -2.630 0.028 Ho
1.817 -2.630 5.780 Ho
1.817 -5.898 8.712 Ho



(b)
NdSmHo3 | Alexandria | GGA-PBE | optimized geometry; V = 32.701 A^3/atom; density of states at the Fermi level = 13.048 states/eV/cell; crystal system = triclinic
1.0
6.507 0.000 0.000
-3.235 5.671 0.000
-3.116 -1.837 8.862
Nd Sm Ho
2 2 6
Cartesian
0.000 0.000 0.000 Nd
-3.175 1.917 4.431 Nd
-0.460 1.935 2.739 Sm
0.616 1.900 6.123 Sm
-1.744 -0.482 6.092 Ho
-3.087 1.947 8.447 Ho
1.909 -0.506 2.764 Ho
-1.753 4.340 6.098 Ho
3.243 1.888 0.415 Ho
1.900 4.316 2.770 Ho



Quick one: most stable of them? (b)



(a)
Nd2Sm5Ho4 | Alexandria | GGA-PBE | optimized geometry; V = 34.413 A^3/atom; density of states at the Fermi level = 15.837 states/eV/cell; crystal system = orthorhombic
1.0
-1.764 4.568 11.747
1.764 -4.568 11.747
1.764 4.568 -11.747
Nd Sm Ho
2 5 4
Cartesian
0.000 0.000 5.448 Nd
0.000 0.000 18.045 Nd
1.764 2.763 -3.360 Sm
1.764 2.763 3.360 Sm
0.000 4.568 0.000 Sm
0.000 1.805 8.387 Sm
0.000 1.805 15.107 Sm
0.000 0.000 2.269 Ho
1.764 1.712 0.000 Ho
0.000 2.856 11.747 Ho
0.000 0.000 21.225 Ho



(b)
Nd2Sm5Ho4 | Alexandria | GGA-PBE | optimized geometry; V = 33.032 A^3/atom; density of states at the Fermi level = 15.416 states/eV/cell; crystal system = monoclinic
1.0
11.814 -1.800 0.000
11.814 1.800 0.000
-2.195 0.000 8.545
Nd Sm Ho
2 5 4
Cartesian
1.632 0.000 1.916 Nd
19.801 0.000 6.630 Nd
-1.097 0.000 4.273 Sm
4.942 0.000 5.861 Sm
7.694 0.000 3.475 Sm
13.739 0.000 5.071 Sm
16.491 0.000 2.685 Sm
2.207 0.000 8.152 Ho
10.413 0.000 1.163 Ho
11.020 0.000 7.382 Ho
19.226 0.000 0.393 Ho



Quick one: most stable of them? (b)